# 1
First-principles (GGA-PBE) data for a relaxed Zn2CoW crystal, as listed in the Alexandria database.

Structure (extended XYZ):
```
4
Lattice="0.0000 3.0085 3.0085 3.0085 0.0000 3.0085 3.0085 3.0085 0.0000" Properties=species:S:1:pos:R:3 pbc="T T T"
Zn 1.5042 1.5042 1.5042
Zn 4.5127 4.5127 4.5127
Co 0.0000 0.0000 0.0000
W 3.0085 3.0085 3.0085
```

Values from the calculation:
Spin magnetization: 1.5 μB per formula unit
VASP energy: -5.189 eV per atom
Energy above the lowest structure with this stoichiometry: 0.418 eV/atom
Symmetry: Fm-3m (225)
D(E_F): 3.974 states/eV/cell
Density: 11.4 g/cm³

---

# 2
First-principles (GGA-PBE) data for a relaxed ZrCoW2 crystal, as listed in the Alexandria database.

Structure (extended XYZ):
```
4
Lattice="-1.5286 2.2042 -0.6964 -1.6566 -0.4624 2.1730 4.8618 4.8702 4.7429" Properties=species:S:1:pos:R:3 pbc="T T T"
W 4.6929 4.7010 4.5781
W -0.4474 2.0181 1.8556
Co 2.1447 4.6146 4.3842
Zr 2.5791 2.5836 2.5160
```

Values from the calculation:
Spin magnetization: 0.2 μB per formula unit
VASP energy: -10.229 eV per atom
Energy above the lowest structure with this stoichiometry: 0.101 eV/atom
Symmetry: P4mm (99)
D(E_F): 3.574 states/eV/cell
Density: 13.4 g/cm³

---

# 3
First-principles (GGA-PBE) data for a relaxed ZrCoW2 crystal, as listed in the Alexandria database.

Structure (extended XYZ):
```
4
Lattice="0.0000 3.1645 3.1645 3.1645 0.0000 3.1645 3.1645 3.1645 0.0000" Properties=species:S:1:pos:R:3 pbc="T T T"
W 1.5823 1.5823 1.5823
W 4.7468 4.7468 4.7468
Zr 3.1645 3.1645 3.1645
Co 0.0000 0.0000 0.0000
```

Values from the calculation:
Spin magnetization: 0.0 μB per formula unit
VASP energy: -9.945 eV per atom
Energy above the lowest structure with this stoichiometry: 0.385 eV/atom
Symmetry: Fm-3m (225)
D(E_F): 5.507 states/eV/cell
Density: 13.6 g/cm³